Compound: SnRhSe2N
Source: the Alexandria database
Functional: GGA-PBE
Structure: relaxed

Results
- M_tot: 0.00 μB per formula unit
- Calculated total energy: -20.593 eV per formula unit
- Relative energy among the computed polymorphs: 1000 meV per atom
- Raw formation energy: 1.211 eV/atom

abc: 5.303 5.303 3.858
angles: 90.00 90.00 90.00
Space group P4/mmm (No. 123)
Unique sites:
Sn (0.000, 0.000, 0.000) x1
Rh (0.500, 0.500, 0.500) x1
Se (0.000, 0.500, 0.000) x2
N (0.000, 0.000, 0.500) x1